Below is a relaxed structure of LaGa2Co3, with properties calculated at the PBEsol level.

Unit cell a=3.7017 b=5.2757 c=5.2757 alpha=120.00 beta=90.00 gamma=90.00
Last column: magnetic moment on the atom in μB.
Atoms (fractional coordinates):
Co (0.5000, 0.0000, 0.5000)  0.26
Co (0.5000, 0.5000, 0.5000)  0.26
Co (0.5000, 0.5000, 0.0000)  0.26
Ga (0.0000, 0.6667, 0.3333)  -0.01
Ga (0.0000, 0.3333, 0.6667)  -0.01
La (0.0000, 0.0000, 0.0000)  -0.03

Computed properties:
Total magnetic moment = 0.69 μB per cell
DOS(E_F) = 1.16 states/eV per atom
Symmetry = P6/mmm, No. 191
Crystal system = hexagonal
Calculated formation energy = -0.35 eV per atom

Below is a relaxed structure of La3GaCoS7, with properties calculated at the PBEsol level.

Unit cell a=6.0857 b=9.8818 c=9.8818 alpha=120.00 beta=90.00 gamma=90.00
Last column: magnetic moment on the atom in μB.
Atoms (fractional coordinates):
S (0.7163, 0.0903, 0.8778)  0.02
S (0.0148, 0.4771, 0.5651)  0.00
S (0.2163, 0.8778, 0.7874)  0.02
S (0.2163, 0.9097, 0.1222)  0.02
S (0.5092, 0.3333, 0.6667)  0.00
S (0.7163, 0.1222, 0.2126)  0.02
S (0.0092, 0.6667, 0.3333)  0.00
S (0.2163, 0.2126, 0.0903)  0.02
S (0.0148, 0.0881, 0.5229)  0.00
S (0.5148, 0.5229, 0.4349)  0.00
S (0.5148, 0.5651, 0.0881)  0.00
S (0.7163, 0.7874, 0.9097)  0.02
S (0.0148, 0.4349, 0.9119)  0.00
S (0.5148, 0.9119, 0.4771)  0.00
La (0.7962, 0.7841, 0.6271)  0.02
La (0.2962, 0.1570, 0.7841)  0.02
La (0.2962, 0.6271, 0.8430)  0.02
La (0.7962, 0.8430, 0.2159)  0.02
La (0.7962, 0.3729, 0.1570)  0.02
La (0.2962, 0.2159, 0.3729)  0.02
Ga (0.8759, 0.3333, 0.6667)  0.00
Ga (0.3759, 0.6667, 0.3333)  0.00
Co (0.4664, 0.0000, 0.0000)  0.75
Co (0.9664, 0.0000, 0.0000)  0.75

Computed properties:
Total magnetic moment = 1.99 μB per cell
DOS(E_F) = 0.17 states/eV per atom
Symmetry = P6_3, No. 173
Formation energy from raw total energies = -154.2 kJ per mole of atoms
Crystal system = hexagonal

Below is a relaxed structure of La2TaGaCo, with properties calculated at the PBEsol level.

Unit cell a=4.7622 b=5.5330 c=5.5330 alpha=90.00 beta=90.00 gamma=90.00
Last column: magnetic moment on the atom in μB.
Atoms (fractional coordinates):
La (0.0000, 0.5000, 0.0000)  -0.11
La (0.0000, 0.0000, 0.5000)  -0.11
Ta (0.5000, 0.0000, 0.0000)  -0.22
Ga (0.0000, 0.0000, 0.0000)  -0.02
Co (0.5000, 0.5000, 0.5000)  1.89

Computed properties:
Total magnetic moment = 0.85 μB per cell
DOS(E_F) = 2.01 states/eV per atom
Symmetry = P4/mmm, No. 123
Crystal system = tetragonal
Calculated formation energy = 1.13 eV per atom

Below is a relaxed structure of LaGa2CoTc, with properties calculated at the PBEsol level.

Unit cell a=4.5008 b=4.5008 c=4.9123 alpha=90.00 beta=90.00 gamma=90.00
Last column: magnetic moment on the atom in μB.
Atoms (fractional coordinates):
Tc (0.5000, 0.5000, 0.5000)  2.50
La (0.0000, 0.0000, 0.5000)  -0.04
Ga (0.0000, 0.5000, 0.0000)  0.00
Ga (0.5000, 0.0000, 0.0000)  0.00
Co (0.0000, 0.0000, 0.0000)  0.23

Computed properties:
Total magnetic moment = 2.90 μB per cell
DOS(E_F) = 0.93 states/eV per atom
Symmetry = P4/mmm, No. 123
Crystal system = tetragonal
Calculated formation energy = 0.40 eV per atom

Below is a relaxed structure of LaGa2CoTe, with properties calculated at the PBEsol level.

Unit cell a=4.6428 b=4.6428 c=5.0374 alpha=90.00 beta=90.00 gamma=90.00
Atoms (fractional coordinates):
Ga (0.0000, 0.5000, 0.0000)
Ga (0.5000, 0.0000, 0.0000)
Te (0.5000, 0.5000, 0.5000)
Co (0.0000, 0.0000, 0.0000)
La (0.0000, 0.0000, 0.5000)

Computed properties:
Total magnetic moment = 0.00 μB per cell
DOS(E_F) = 0.32 states/eV per atom
Symmetry = P4/mmm, No. 123
Formation energy from raw total energies = -66.8 kJ per mole of atoms
Crystal system = tetragonal

Below is a relaxed structure of LiGa3Co, with properties calculated at the PBEsol level.

Unit cell a=4.4758 b=4.4758 c=4.4758 alpha=90.00 beta=90.00 gamma=90.00
Atoms (fractional coordinates):
Ga (0.0000, 0.5000, 0.0000)
Ga (0.0000, 0.0000, 0.5000)
Ga (0.5000, 0.0000, 0.0000)
Co (0.0000, 0.0000, 0.0000)
Li (0.5000, 0.5000, 0.5000)

Computed properties:
Total magnetic moment = 0.00 μB per cell
DOS(E_F) = 0.52 states/eV per atom
Symmetry = Pm-3m, No. 221
Crystal system = cubic
Calculated formation energy = -0.17 eV per atom